No. 1
A relaxed structure of MnFeGe, computed with PBE-GGA.

```
MnFeGe
1.0
3.797 0.000 0.283
0.000 3.191 0.000
-0.489 0.000 6.510
Ge Mn Fe
2 2 2
Direct
0.250 0.750 0.768 Ge
0.750 0.250 0.232 Ge
0.250 0.750 0.142 Mn
0.750 0.250 0.858 Mn
0.750 0.750 0.515 Fe
0.250 0.250 0.485 Fe
```

Computed properties:
The size of the total moment is 9.89 μB per cell. The calculation puts the density of states at the Fermi level at 1.64 states/eV/f.u. The formation enthalpy at 0 K comes out at -0.1172 eV per atom. The total energy is -45.20 eV/cell.



No. 2
A relaxed structure of Pm2Pr6Er, computed with PBE-GGA.

```
Pm2Pr6Er
1.0
-1.805 2.883 -5.898
-3.194 -7.984 -4.902
-8.737 3.867 2.587
Pr Pm Er
12 4 2
Direct
0.020 0.267 0.641 Pr
0.799 0.542 0.926 Pr
0.701 0.074 0.458 Pr
0.480 0.359 0.733 Pr
0.818 0.962 0.765 Pr
0.980 0.733 0.359 Pr
0.682 0.235 0.038 Pr
0.182 0.038 0.235 Pr
0.318 0.765 0.962 Pr
0.201 0.458 0.074 Pr
0.520 0.641 0.267 Pr
0.299 0.926 0.542 Pr
0.635 0.662 0.623 Pm
0.135 0.623 0.662 Pm
0.365 0.338 0.377 Pm
0.865 0.377 0.338 Pm
0.750 0.891 0.109 Er
0.250 0.109 0.891 Er
```

Computed properties:
The size of the total moment is 0.00 μB per cell. As for the polymorph energy (0 for the lowest one): 0.0 meV/atom. The calculation puts the density of states at the Fermi level at 14.11 states/eV/f.u. The formation enthalpy at 0 K comes out at 0.1104 eV per atom. The total energy is -83.50 eV/cell.



No. 3
A relaxed structure of Er2TeSe2, computed with PBE-GGA.

```
Er2TeSe2
1.0
4.034 0.000 -1.162
-0.530 5.289 -1.841
-0.014 -0.368 7.539
Se Te Er
2 1 2
Direct
0.692 0.692 0.384 Se
0.308 0.308 0.616 Se
0.000 0.000 0.000 Te
0.666 0.166 0.331 Er
0.334 0.834 0.669 Er
```

Computed properties:
The size of the total moment is 0.00 μB per cell. As for the polymorph energy (0 for the lowest one): 0.0 meV/atom. The calculation puts the density of states at the Fermi level at 0.00 states/eV/f.u. The energy relative to the elements, uncorrected comes out at -164.74 kJ per mole of atoms. The total energy is -27.77 eV/cell.



No. 4
A relaxed structure of LaH2Au, computed with PBE-GGA.

```
LaH2Au
1.0
-2.752 -1.850 3.783
-2.129 -4.771 -3.882
5.749 -4.271 2.096
H Au La
8 4 4
Direct
0.986 0.854 0.110 H
0.515 0.646 0.611 H
0.485 0.146 0.889 H
0.014 0.354 0.390 H
0.986 0.646 0.610 H
0.485 0.354 0.389 H
0.515 0.854 0.111 H
0.014 0.146 0.890 H
0.250 0.879 0.531 Au
0.750 0.379 0.969 Au
0.250 0.621 0.031 Au
0.750 0.121 0.469 Au
0.250 0.351 0.669 La
0.750 0.649 0.331 La
0.250 0.149 0.169 La
0.750 0.851 0.831 La
```

Computed properties:
The size of the total moment is 0.00 μB per cell. As for the polymorph energy (0 for the lowest one): 31.7 meV/atom. The calculation puts the density of states at the Fermi level at 0.82 states/eV/f.u. The total energy is -68.10 eV/cell.



No. 5
A relaxed structure of SrCa2GaN, computed with PBE-GGA.

```
SrCa2GaN
1.0
-2.234 -1.874 -3.893
-0.823 -4.117 2.455
-4.650 1.958 1.726
N Ca Sr Ga
1 2 1 1
Direct
0.000 0.000 0.000 N
0.500 0.000 0.000 Ca
0.000 0.500 0.000 Ca
0.000 0.000 0.500 Sr
0.500 0.500 0.500 Ga
```

Computed properties:
The size of the total moment is 0.07 μB per cell. The calculation puts the density of states at the Fermi level at 4.66 states/eV/f.u. The energy relative to the elements, uncorrected comes out at -50.81 kJ per mole of atoms. The total energy is -19.67 eV/cell.



No. 6
A relaxed structure of Li2Zn2Sn, computed with PBE-GGA.

```
Li2Zn2Sn
1.0
4.955 0.000 1.496
2.186 4.747 1.712
0.390 0.774 7.658
Zn Sn Li
4 2 4
Direct
0.701 0.774 0.447 Zn
0.299 0.226 0.553 Zn
0.921 0.726 0.053 Zn
0.079 0.274 0.947 Zn
0.717 0.250 0.750 Sn
0.283 0.750 0.250 Sn
0.159 0.736 0.648 Li
0.841 0.264 0.352 Li
0.543 0.764 0.852 Li
0.457 0.236 0.148 Li
```

Computed properties:
The size of the total moment is 0.00 μB per cell. As for the polymorph energy (0 for the lowest one): 0.0 meV/atom. The calculation puts the density of states at the Fermi level at 0.94 states/eV/f.u. The formation enthalpy at 0 K comes out at -0.2279 eV per atom. The total energy is -23.04 eV/cell.



No. 7
A relaxed structure of TbAl2Co, computed with PBE-GGA.

```
TbAl2Co
1.0
3.053 0.000 0.000
0.000 3.053 0.000
0.000 0.000 7.311
Al Tb Co
2 1 1
Direct
0.000 0.000 0.817 Al
0.000 0.000 0.183 Al
0.500 0.500 0.500 Tb
0.500 0.500 0.000 Co
```

Computed properties:
The size of the total moment is 0.77 μB per cell. The calculation puts the density of states at the Fermi level at 2.44 states/eV/f.u. The formation enthalpy at 0 K comes out at -0.3719 eV per atom. The total energy is -20.71 eV/cell.



No. 8
A relaxed structure of BiS2BrN, computed with PBE-GGA.

```
BiS2BrN
1.0
-0.612 2.182 -4.606
-2.555 -4.146 -1.624
-3.273 1.557 1.173
S Br Bi N
2 1 1 1
Direct
0.000 0.500 0.000 S
0.500 0.000 0.000 S
0.000 0.000 0.000 Br
0.500 0.500 0.500 Bi
0.000 0.000 0.500 N
```

Computed properties:
The size of the total moment is 0.00 μB per cell. As for the polymorph energy (0 for the lowest one): 22.6 meV/atom. The calculation puts the density of states at the Fermi level at 2.20 states/eV/f.u. The energy relative to the elements, uncorrected comes out at 120.75 kJ per mole of atoms. The total energy is -15.88 eV/cell.



No. 9
A relaxed structure of KMnHg2Cl, computed with PBE-GGA.

```
KMnHg2Cl
1.0
-3.318 -5.570 1.509
4.164 -1.541 3.469
-3.016 3.158 5.024
Hg Mn K Cl
2 1 1 1
Direct
0.000 0.000 0.500 Hg
0.500 0.000 0.000 Hg
0.500 0.500 0.500 Mn
0.000 0.500 0.000 K
0.000 0.000 0.000 Cl
```

Computed properties:
The size of the total moment is 5.00 μB per cell. The calculation puts the density of states at the Fermi level at 6.18 states/eV/f.u. The energy relative to the elements, uncorrected comes out at 15.39 kJ per mole of atoms. The total energy is -11.92 eV/cell.



No. 10
A relaxed structure of Th2Ga3PdPt4, computed with PBE-GGA.

```
Th2Ga3PdPt4
1.0
-0.038 1.607 -3.749
-3.997 -0.765 -0.288
-2.337 10.512 4.529
Pt Ga Th Pd
4 3 2 1
Direct
0.000 0.000 0.000 Pt
0.500 0.000 0.661 Pt
0.000 0.500 0.339 Pt
0.500 0.500 0.000 Pt
0.000 0.500 0.127 Ga
0.500 0.000 0.873 Ga
0.000 0.000 0.500 Ga
0.500 0.000 0.258 Th
0.000 0.500 0.742 Th
0.500 0.500 0.500 Pd
```

Computed properties:
The size of the total moment is 0.00 μB per cell. The calculation puts the density of states at the Fermi level at 6.12 states/eV/f.u. The formation enthalpy at 0 K comes out at -0.9226 eV per atom. The total energy is -62.50 eV/cell.



No. 11
A relaxed structure of Sr2YTl2, computed with PBE-GGA.

```
Sr2YTl2
1.0
8.969 0.000 0.000
0.000 8.969 0.000
0.000 0.000 4.362
Tl Y Sr
4 2 4
Direct
0.138 0.362 0.000 Tl
0.862 0.638 0.000 Tl
0.362 0.862 0.000 Tl
0.638 0.138 0.000 Tl
0.000 0.000 0.000 Y
0.500 0.500 0.000 Y
0.163 0.663 0.500 Sr
0.337 0.163 0.500 Sr
0.663 0.837 0.500 Sr
0.837 0.337 0.500 Sr
```

Computed properties:
The size of the total moment is 0.00 μB per cell. As for the polymorph energy (0 for the lowest one): 0.0 meV/atom. The calculation puts the density of states at the Fermi level at 2.00 states/eV/f.u. The formation enthalpy at 0 K comes out at -0.2502 eV per atom. The total energy is -31.62 eV/cell.



No. 12
A relaxed structure of Th5AuC4, computed with PBE-GGA.

```
Th5AuC4
1.0
-1.657 -1.753 2.930
2.542 -6.165 0.206
6.232 0.754 6.432
C Th Au
4 5 1
Direct
0.604 0.200 0.593 C
0.811 0.596 0.782 C
0.189 0.404 0.218 C
0.396 0.800 0.407 C
0.391 0.355 0.863 Th
0.209 0.908 0.673 Th
0.000 0.500 0.500 Th
0.609 0.645 0.137 Th
0.791 0.092 0.327 Th
0.000 0.000 0.000 Au
```

Computed properties:
The size of the total moment is 0.00 μB per cell. The calculation puts the density of states at the Fermi level at 4.06 states/eV/f.u. The formation enthalpy at 0 K comes out at -0.2853 eV per atom. The total energy is -80.12 eV/cell.